[1]
# Si2MoPt

A relaxed Si2MoPt crystal (PBE-GGA, Alexandria).

abc: 5.515 5.515 5.515
angles: 106.70 106.70 115.17
Fractional coordinates of all 8 atoms:
1 Si 0.106 0.625 0.981
2 Si 0.375 0.356 0.481
3 Si 0.644 0.125 0.019
4 Si 0.875 0.894 0.519
5 Mo 0.250 0.750 0.500
6 Mo 0.500 0.500 0.000
7 Pt 0.000 0.000 0.000
8 Pt 0.750 0.250 0.500

Properties
The calculation puts the uncorrected formation energy at 0.09 eV per atom. As for the space-group type: I-42d. The volume is 16.02 Å³/atom. Its electronic total energy is -6.84 eV per atom.

=====

[2]
# SiMo2Pt

A relaxed SiMo2Pt crystal (PBE-GGA, Alexandria).

abc: 5.060 5.060 4.738
angles: 108.77 108.77 31.56
Fractional coordinates of all 4 atoms:
1 Si 0.000 0.000 0.000
2 Mo 0.531 0.531 0.510
3 Mo 0.739 0.739 0.144
4 Pt 0.287 0.287 0.674

Properties
The calculation puts the uncorrected formation energy at -0.24 eV per atom. As for the space-group type: Cm. The volume is 14.96 Å³/atom. Its electronic total energy is -8.52 eV per atom.

=====

[3]
# SiMo2Pt

A relaxed SiMo2Pt crystal (PBE-GGA, Alexandria).

abc: 4.397 4.397 4.397
angles: 60.00 60.00 60.00
Fractional coordinates of all 4 atoms:
1 Si 0.000 0.000 0.000
2 Mo 0.500 0.500 0.500
3 Mo 0.750 0.750 0.750
4 Pt 0.250 0.250 0.250

Properties
The calculation puts the uncorrected formation energy at 0.02 eV per atom. As for the space-group type: F-43m. The volume is 15.03 Å³/atom. Its electronic total energy is -8.26 eV per atom.